Crystalline LaMgZn10 at its relaxed geometry. Source: Alexandria, functional PBE.

```
LaMgZn10
1.0
4.327 0.000 0.000
0.000 5.238 0.000
0.000 0.000 9.347
Zn La Mg
10 1 1
direct
0.500 0.244 0.756
0.500 0.756 0.244
0.500 0.244 0.244
0.500 0.000 0.500
0.000 0.000 0.651
0.500 0.756 0.756
0.000 0.500 0.805
0.000 0.000 0.349
0.000 0.500 0.195
0.500 0.500 0.000
0.000 0.000 0.000
0.000 0.500 0.500
```

Summary:
Spin magnetization (Bohr magnetons per cell): 0.000
DFT formation energy (eV/atom): -0.16